Entry 1:
NaSrBi2S4: optimized geometry, PBE.

The space group is P2/m (No. 10) and the conventional cell measures 7.036, 4.405 and 7.193 Å, with angles of 90.00, 110.78 and 90.00 degrees. Symmetry generates all atoms from Na at (0.000, 0.000, 0.000), Sr at (0.000, 0.500, 0.500), Bi at (0.500, 0.000, 0.500), Bi at (0.500, 0.500, 0.000), S at (0.266, 0.000, 0.755) and S at (0.268, 0.500, 0.256).

The calculation puts the total magnetization at 0.00 μB/cell. The calculation puts the density of states at the Fermi level at 1.62 states/eV/cell. The value obtained for the uncorrected energy is -4.29 eV/atom.

=====

Entry 2:
PrNpRh: optimized geometry, PBE.

The space group is C2/m (No. 12) and the conventional cell measures 11.218, 3.733 and 8.228 Å, with angles of 90.00, 126.08 and 90.00 degrees. Symmetry generates all atoms from Pr at (0.077, 0.000, 0.364), Np at (0.118, 0.500, 0.046) and Rh at (0.177, 0.500, 0.734).

The calculation puts the total magnetization at 0.01 μB/cell. The calculation puts the density of states at the Fermi level at 19.34 states/eV/cell. The value obtained for the uncorrected energy is -8.56 eV/atom.

=====

Entry 3:
La2PrPuN5: optimized geometry, PBE.

The space group is Cmc2_1 (No. 36) and the conventional cell measures 3.856, 13.328 and 11.843 Å, with angles of 90.00, 90.00 and 90.00 degrees. Symmetry generates all atoms from La at (0.000, 0.092, 0.000), La at (0.000, 0.160, 0.533), Pr at (0.000, 0.265, 0.281), Pu at (0.000, 0.462, 0.770), N at (0.000, 0.074, 0.346), N at (0.000, 0.250, 0.924), N at (0.000, 0.337, 0.661), N at (0.000, 0.419, 0.140) and N at (0.000, 0.426, 0.377).

The calculation puts the total magnetization at 8.00 μB/cell. The calculation puts the density of states at the Fermi level at 15.16 states/eV/cell. The value obtained for the uncorrected energy is -8.96 eV/atom.

=====

Entry 4:
TiP2PbCl: optimized geometry, PBE.

The space group is P4/mmm (No. 123) and the conventional cell measures 4.953, 4.953 and 5.362 Å, with angles of 90.00, 90.00 and 90.00 degrees. Symmetry generates all atoms from Ti at (0.000, 0.000, 0.000), P at (0.000, 0.500, 0.000), Pb at (0.500, 0.500, 0.500) and Cl at (0.000, 0.000, 0.500).

As for the energy above the most stable polymorph in this dataset: 0 meV per atom. The calculation puts the total magnetization at 0.00 μB/cell. The calculation puts the density of states at the Fermi level at 2.81 states/eV/cell.

=====

Entry 5:
AlTlInBi: optimized geometry, PBE.

The space group is F-43m (No. 216) and the conventional cell measures 7.630, 7.630 and 7.630 Å, with angles of 90.00, 90.00 and 90.00 degrees. Symmetry generates all atoms from Al at (0.000, 0.000, 0.000), Tl at (0.250, 0.250, 0.750), In at (0.000, 0.000, 0.500) and Bi at (0.250, 0.250, 0.250).

The calculation puts the total magnetization at 0.00 μB/cell. The calculation puts the density of states at the Fermi level at 19.55 states/eV/cell. The value obtained for the uncorrected energy is -2.98 eV/atom.

=====

Entry 6:
Pm6Ir2S3I: optimized geometry, PBE.

The space group is C2/m (No. 12) and the conventional cell measures 18.265, 4.052 and 8.671 Å, with angles of 90.00, 104.53 and 90.00 degrees. Symmetry generates all atoms from Pm at (0.010, 0.000, 0.290), Pm at (0.170, 0.500, 0.583), Pm at (0.182, 0.500, 0.115), Ir at (0.170, 0.000, 0.339), S at (0.000, 0.500, 0.500), S at (0.157, 0.000, 0.842) and I at (0.000, 0.500, 0.000).

The calculation puts the total magnetization at 0.00 μB/cell. The calculation puts the density of states at the Fermi level at 9.10 states/eV/cell. The value obtained for the uncorrected energy is -6.36 eV/atom.

=====

Entry 7:
Sm3TlRu: optimized geometry, PBE.

The space group is Pm-3m (No. 221) and the conventional cell measures 5.402, 5.402 and 5.402 Å, with angles of 90.00, 90.00 and 90.00 degrees. Symmetry generates all atoms from Sm at (0.000, 0.000, 0.500), Tl at (0.500, 0.500, 0.500) and Ru at (0.000, 0.000, 0.000).

As for the energy above the most stable polymorph in this dataset: 170 meV per atom. The calculation puts the total magnetization at 0.00 μB/cell. The calculation puts the density of states at the Fermi level at 3.75 states/eV/cell.

=====

Entry 8:
ThPdO3: optimized geometry, PBE.

The space group is Pm-3m (No. 221) and the conventional cell measures 4.046, 4.046 and 4.046 Å, with angles of 90.00, 90.00 and 90.00 degrees. Symmetry generates all atoms from Th at (0.000, 0.000, 0.000), Pd at (0.500, 0.500, 0.500) and O at (0.000, 0.500, 0.500).

The calculation puts the total magnetization at 0.00 μB/cell. The calculation puts the density of states at the Fermi level at 3.24 states/eV/cell. The value obtained for the uncorrected energy is -7.07 eV/atom.

=====

Entry 9:
KAl3Ga: optimized geometry, PBE.

The space group is Fmm2 (No. 42) and the conventional cell measures 6.176, 6.186 and 11.680 Å, with angles of 90.00, 90.00 and 90.00 degrees. Symmetry generates all atoms from K at (0.000, 0.000, 0.000), Al at (0.000, 0.000, 0.386), Al at (0.250, 0.250, 0.247) and Ga at (0.000, 0.000, 0.612).

As for the energy above the most stable polymorph in this dataset: 0 meV per atom. The calculation puts the total magnetization at 0.00 μB/cell. The calculation puts the density of states at the Fermi level at 5.83 states/eV/cell.

=====

Entry 10:
Sc4CoCu: optimized geometry, PBE.

The space group is I4_1md (No. 109) and the conventional cell measures 8.793, 8.793 and 6.991 Å, with angles of 90.00, 90.00 and 90.00 degrees. Symmetry generates all atoms from Sc at (0.000, 0.266, 0.000), Sc at (0.000, 0.307, 0.494), Co at (0.000, 0.000, 0.965) and Cu at (0.000, 0.000, 0.538).

As for the energy above the most stable polymorph in this dataset: 191 meV per atom. The calculation puts the total magnetization at 0.00 μB/cell. The calculation puts the density of states at the Fermi level at 30.20 states/eV/cell.

=====

Entry 11:
ZrAlSi2: optimized geometry, PBE.

The space group is Amm2 (No. 38) and the conventional cell measures 8.419, 3.100 and 5.291 Å, with angles of 90.00, 90.00 and 90.00 degrees. Symmetry generates all atoms from Zr at (0.000, 0.000, 0.000), Al at (0.500, 0.000, 0.001) and Si at (0.261, 0.000, 0.336).

The calculation puts the total magnetization at 0.00 μB/cell. The calculation puts the density of states at the Fermi level at 3.77 states/eV/cell. The value obtained for the uncorrected energy is -5.80 eV/atom.

=====

Entry 12:
Pr3Cu2Hg4: optimized geometry, PBE.

The space group is C2/m (No. 12) and the conventional cell measures 11.159, 4.824 and 9.105 Å, with angles of 90.00, 116.20 and 90.00 degrees. Symmetry generates all atoms from Pr at (0.000, 0.000, 0.000), Pr at (0.169, 0.500, 0.656), Cu at (0.101, 0.500, 0.274), Hg at (0.052, 0.000, 0.376) and Hg at (0.217, 0.500, 0.067).

The calculation puts the total magnetization at 0.00 μB/cell. The calculation puts the density of states at the Fermi level at 12.84 states/eV/cell. The value obtained for the uncorrected energy is -2.98 eV/atom.